Entry 1:
# HfVNi6 GGA-PBE relaxed
data_HfVNi6
_chemical_formula_sum 'Hf4 V4 Ni24'
_space_group_name_H-M_alt 'P 1'
_space_group_IT_number 1
_space_group_name_Hall 'P 1'
_cell_length_a 6.323
_cell_length_b 6.323
_cell_length_c 10.335
_cell_angle_alpha 90.00
_cell_angle_beta 90.00
_cell_angle_gamma 109.62
loop_
_atom_site_label
_atom_site_type_symbol
_atom_site_fract_x
_atom_site_fract_y
_atom_site_fract_z
Hf1 Hf 0.000 0.000 0.247
Hf2 Hf 0.000 0.000 0.753
Hf3 Hf 0.247 0.753 0.500
Hf4 Hf 0.753 0.247 0.500
V1 V 0.245 0.755 0.000
V2 V 0.500 0.500 0.246
V3 V 0.500 0.500 0.754
V4 V 0.755 0.245 0.000
Ni1 Ni 0.000 0.000 0.000
Ni2 Ni 0.000 0.000 0.500
Ni3 Ni 0.129 0.384 0.121
Ni4 Ni 0.129 0.384 0.879
Ni5 Ni 0.133 0.380 0.370
Ni6 Ni 0.133 0.380 0.630
Ni7 Ni 0.254 0.746 0.242
Ni8 Ni 0.254 0.746 0.758
Ni9 Ni 0.380 0.133 0.370
Ni10 Ni 0.380 0.133 0.630
Ni11 Ni 0.384 0.129 0.121
Ni12 Ni 0.384 0.129 0.879
Ni13 Ni 0.500 0.500 0.000
Ni14 Ni 0.500 0.500 0.500
Ni15 Ni 0.616 0.871 0.121
Ni16 Ni 0.616 0.871 0.879
Ni17 Ni 0.620 0.867 0.370
Ni18 Ni 0.620 0.867 0.630
Ni19 Ni 0.746 0.254 0.242
Ni20 Ni 0.746 0.254 0.758
Ni21 Ni 0.867 0.620 0.370
Ni22 Ni 0.867 0.620 0.630
Ni23 Ni 0.871 0.616 0.121
Ni24 Ni 0.871 0.616 0.879
# **Formation enthalpy at 0 K**: -319 meV per atom
# **Space group**: Cmmm
# **Calculated density**: 9.92 g/cm³


Entry 2:
# Hf2VNi GGA-PBE relaxed
data_Hf2VNi
_chemical_formula_sum 'Hf8 V4 Ni4'
_space_group_name_H-M_alt 'P 1'
_space_group_IT_number 1
_space_group_name_Hall 'P 1'
_cell_length_a 6.469
_cell_length_b 6.469
_cell_length_c 6.469
_cell_angle_alpha 90.00
_cell_angle_beta 90.00
_cell_angle_gamma 90.00
loop_
_atom_site_label
_atom_site_type_symbol
_atom_site_fract_x
_atom_site_fract_y
_atom_site_fract_z
Hf1 Hf 0.250 0.250 0.250
Hf2 Hf 0.250 0.250 0.750
Hf3 Hf 0.250 0.750 0.250
Hf4 Hf 0.250 0.750 0.750
Hf5 Hf 0.750 0.250 0.250
Hf6 Hf 0.750 0.250 0.750
Hf7 Hf 0.750 0.750 0.250
Hf8 Hf 0.750 0.750 0.750
V1 V 0.000 0.000 0.000
V2 V 0.000 0.500 0.500
V3 V 0.500 0.000 0.500
V4 V 0.500 0.500 0.000
Ni1 Ni 0.000 0.000 0.500
Ni2 Ni 0.000 0.500 0.000
Ni3 Ni 0.500 0.000 0.000
Ni4 Ni 0.500 0.500 0.500
# **Formation enthalpy at 0 K**: -78 meV per atom
# **Space group**: Fm-3m
# **Energy above the most stable polymorph in this dataset**: 90 meV per atom
# **Calculated density**: 11.45 g/cm³


Entry 3:
# HfVNi2 GGA-PBE relaxed
data_HfVNi2
_chemical_formula_sum 'Hf1 V1 Ni2'
_space_group_name_H-M_alt 'P 1'
_space_group_IT_number 1
_space_group_name_Hall 'P 1'
_cell_length_a 3.986
_cell_length_b 3.986
_cell_length_c 3.568
_cell_angle_alpha 90.00
_cell_angle_beta 90.00
_cell_angle_gamma 90.00
loop_
_atom_site_label
_atom_site_type_symbol
_atom_site_fract_x
_atom_site_fract_y
_atom_site_fract_z
Hf1 Hf 0.000 0.000 0.000
V1 V 0.500 0.500 0.000
Ni1 Ni 0.000 0.500 0.500
Ni2 Ni 0.500 0.000 0.500
# **Formation enthalpy at 0 K**: -193 meV per atom
# **Space group**: P4/mmm
# **Energy above the most stable polymorph in this dataset**: 25 meV per atom
# **Calculated density**: 10.16 g/cm³


Entry 4:
# Hf4VNi2 GGA-PBE relaxed
data_Hf4VNi2
_chemical_formula_sum 'Hf4 V1 Ni2'
_space_group_name_H-M_alt 'P 1'
_space_group_IT_number 1
_space_group_name_Hall 'P 1'
_cell_length_a 8.156
_cell_length_b 8.156
_cell_length_c 8.156
_cell_angle_alpha 31.69
_cell_angle_beta 31.69
_cell_angle_gamma 31.69
loop_
_atom_site_label
_atom_site_type_symbol
_atom_site_fract_x
_atom_site_fract_y
_atom_site_fract_z
Hf1 Hf 0.126 0.126 0.126
Hf2 Hf 0.289 0.289 0.289
Hf3 Hf 0.711 0.711 0.711
Hf4 Hf 0.874 0.874 0.874
V1 V 0.500 0.500 0.500
Ni1 Ni 0.400 0.400 0.400
Ni2 Ni 0.600 0.600 0.600
# **Formation enthalpy at 0 K**: 75 meV per atom
# **Space group**: R-3m
# **Calculated density**: 11.02 g/cm³